# 1
A relaxed structure of ZnH2Rh2. Source: Alexandria, functional GGA-PBE.

Computed properties:
**Electronic total energy**: -4.527 eV/atom
**Calculated volume**: 10.0 A^3/atom

Cell lengths 5.7693, 5.7693, 2.9934 Å; angles 90.00, 90.00, 90.00 degrees
With the nearest neighbours (Å) after each atom.
Atoms (fractional coordinates):
1 Zn 0.0000 0.0000 0.0000  4 H 2.06
2 Zn 0.5000 0.5000 0.0000  4 H 2.06
3 H 0.2133 0.2867 0.0000  2 Rh 1.76
4 H 0.2867 0.7867 0.0000  2 Rh 1.76
5 H 0.7133 0.2133 0.0000  2 Rh 1.76
6 H 0.7867 0.7133 0.0000  2 Rh 1.76
7 Rh 0.1727 0.6727 0.5000  2 H 1.76
8 Rh 0.3273 0.1727 0.5000  2 H 1.76
9 Rh 0.6727 0.8273 0.5000  2 H 1.76
10 Rh 0.8273 0.3273 0.5000  2 H 1.76

# 2
A relaxed structure of LaZnMoIr2. Source: Alexandria, functional GGA-PBE.

Computed properties:
**Electronic total energy**: -4.819 eV/atom
**Formation energy**: 2.132 eV/atom
**Calculated volume**: 24.0 A^3/atom

Cell lengths 4.8482, 4.8482, 5.1027 Å; angles 90.00, 90.00, 90.00 degrees
With the nearest neighbours (Å) after each atom.
Atoms (fractional coordinates):
1 La 0.0000 0.0000 0.0000  4 Ir 2.42, 2 Zn 2.55
2 Zn 0.0000 0.0000 0.5000  2 La 2.55
3 Mo 0.5000 0.5000 0.5000  4 Zn 3.43, 8 Ir 3.52
4 Ir 0.0000 0.5000 0.0000  2 La 2.42
5 Ir 0.5000 0.0000 0.0000  2 La 2.42

Question: Which value of electronic total energy does entry 1 give?
Answer: -4.527 eV/atom